## TaPb3F (PBE)

Data for crystalline TaPb3F at its relaxed geometry.

```
TaPb3F
1.0
4.952 0.000 0.000
0.000 4.952 0.000
0.000 0.000 4.952
Pb Ta F
3 1 1
Cartesian
0.000 0.000 2.476 Pb
2.476 0.000 0.000 Pb
0.000 2.476 0.000 Pb
2.476 2.476 2.476 Ta
0.000 0.000 0.000 F
```

DFT total energy: -4.77 eV per atom
Formation energy without anion corrections: 19.60 kJ/mol of atoms